Material: VCo2F
Method: DFT, PBE with a Hubbard U
State: relaxed

The calculation puts the relative energy among the computed polymorphs at 1.58 eV per formula unit.

The structure belongs to space group Fm-3m (No. 225); the cell edges are 6.080, 6.080 and 6.080 Å and the angles 90.00°, 90.00° and 90.00°. Symmetry generates all atoms from V at (0.000, 0.000, 0.000), Co at (0.250, 0.250, 0.250) and F at (0.000, 0.000, 0.500).